# KH2F8 | Alexandria via LeMat-Bulk | PBE | optimized geometry
data_KH2F8
_cell_length_a 7.7386
_cell_length_b 5.2431
_cell_length_c 9.3522
_cell_angle_alpha 90.00
_cell_angle_beta 105.15
_cell_angle_gamma 90.00
_symmetry_space_group_name_H-M 'C 1 2/m 1'
_symmetry_Int_Tables_number 12
loop_
_symmetry_equiv_pos_as_xyz
'x,y,z'
'-x,-y,-z'
'-x,y,-z'
'x,-y,z'
'x+1/2,y+1/2,z'
'-x+1/2,-y+1/2,-z'
'-x+1/2,y+1/2,-z'
'x+1/2,-y+1/2,z'
loop_
_atom_site_label
_atom_site_fract_x
_atom_site_fract_y
_atom_site_fract_z
K1 0.0000 0.0000 0.0000
H1 0.1515 0.5000 0.8161
F1 0.1555 0.5000 0.4692
F2 0.1606 0.2848 0.8337
F3 0.2410 0.5000 0.3510
# energy: -0.1144 Ha/atom
# total magnetic moment: 2.1 Bohr magnetons per cell

---

# Zr2VSn2 | Alexandria via LeMat-Bulk | PBE | optimized geometry
data_Zr2VSn2
_cell_length_a 7.2597
_cell_length_b 7.2597
_cell_length_c 4.0865
_cell_angle_alpha 90.00
_cell_angle_beta 90.00
_cell_angle_gamma 90.00
_symmetry_space_group_name_H-M 'P 4/m b m'
_symmetry_Int_Tables_number 127
_symmetry_space_group_name_Hall '-P 4 2ab'
loop_
_atom_site_label
_atom_site_fract_x
_atom_site_fract_y
_atom_site_fract_z
Zr1 0.1650 0.3350 0.0000
V1 0.0000 0.0000 0.5000
Sn1 0.1408 0.6408 0.5000
# formation energy: -243.7 meV/atom
# total magnetic moment: 2.3 Bohr magnetons per cell